(1)
The following is a PBE-GGA calculation of La5ErPb3 after structural relaxation, from the Alexandria database.

a b c (Å): 9.9042 9.9042 6.9089
angles (deg): 90.00 90.00 120.00
Space group P6_3/mcm (No. 193)
One atom of each set of equivalent atoms:
1 La 0.0000 0.3278 0.2500 x6
2 La 0.3333 0.6667 0.0000 x4
3 Er 0.0000 0.0000 0.0000 x2
4 Pb 0.0000 0.3354 0.7500 x6

Results
Spin magnetization: 0.4059 μB per atom
Electronic total energy: -4.920 eV per atom

***

(2)
The following is a PBE-GGA calculation of BaLuMg2 after structural relaxation, from the Alexandria database.

a b c (Å): 3.957 3.957 8.368
angles (deg): 90.00 90.00 90.00
Space group P4/mmm (No. 123)
One atom of each set of equivalent atoms:
1 Ba 0.000 0.000 0.000 x1
2 Lu 0.000 0.000 0.500 x1
3 Mg 0.500 0.500 0.299 x2

Results
Spin magnetization: 0.0000 μB per atom
Electronic total energy: -2.406 eV per atom
Distance to the lowest polymorph of the same formula: 0.000 eV/atom